Entry 1:
NdGa2Rh2 | PBE | optimized geometry

a b c (Å): 4.293 4.293 10.122
angles (deg): 90.00 90.00 90.00
Space group I4/mmm (No. 139)
Asymmetric unit:
Nd: 0.000 0.000 0.000 x2
Ga: 0.000 0.000 0.372 x4
Rh: 0.000 0.500 0.250 x4

Values from the calculation:
Crystal system: tetragonal
Total moment (μB per atom): 0.000
Calculated formation energy (eV/atom): -0.81
ρ (g cm⁻³): 8.71

Entry 2:
La12Dy7Tm | PBE | optimized geometry

a b c (Å): 12.5120 12.5120 15.4233
angles (deg): 90.00 90.00 120.00
Space group R-3 (No. 148, hexagonal axes)
Asymmetric unit:
La: 0.0135 0.4373 0.2200 x18
La: 0.0668 0.5965 0.5776 x18
Dy: 0.0000 0.0000 0.0000 x3
Dy: 0.0509 0.1836 0.3088 x18
Tm: 0.0000 0.0000 0.5000 x3

Values from the calculation:
Crystal system: trigonal
Total moment (μB per atom): 0.000
Calculated formation energy (eV/atom): 0.19
Excess energy over the best structure of this formula in the dataset (kJ/mol of atoms): 0.9
ρ (g cm⁻³): 7.08

| no. | total DFT energy (no corrections) (Ha/atom) |
| --- | --- |
| 1 | -0.217 |
| 2 | -0.169 |